First-principles (PBE) data for an optimized crystal structure of Sb2SeCl, as listed in Alexandria via LeMat-Bulk.

The structure in CIF format:
```
data_Sb2SeCl
_chemical_formula_sum 'Sb4 Se2 Cl2'
_cell_length_a 3.511
_cell_length_b 6.038
_cell_length_c 10.409
_cell_angle_alpha 90.00
_cell_angle_beta 90.00
_cell_angle_gamma 90.00
_symmetry_space_group_name_H-M 'C m m 2'
_symmetry_Int_Tables_number 35
loop_
_symmetry_equiv_pos_as_xyz
'x,y,z'
'-x,-y,z'
'-x,y,z'
'x,-y,z'
'x+1/2,y+1/2,z'
'-x+1/2,-y+1/2,z'
'-x+1/2,y+1/2,z'
'x+1/2,-y+1/2,z'
loop_
_atom_site_label
_atom_site_fract_x
_atom_site_fract_y
_atom_site_fract_z
_atom_site_occupancy
Sb1 0.000 0.000 0.000 1
Sb2 0.000 0.500 0.291 1
Se1 0.000 0.000 0.482 1
Cl1 0.000 0.500 0.798 1
```

The crystal system is orthorhombic. The density of states at the Fermi level comes out at 3.2 states/eV per cell. For the formation energy (no corrections), the calculation gives 0.2 eV per formula unit.

***

First-principles (PBE) data for an optimized crystal structure of SnSb2SeCl, as listed in Alexandria via LeMat-Bulk.

The structure in CIF format:
```
data_SnSb2SeCl
_chemical_formula_sum 'Sn1 Sb2 Se1 Cl1'
_cell_length_a 5.727
_cell_length_b 5.727
_cell_length_c 5.244
_cell_angle_alpha 90.00
_cell_angle_beta 90.00
_cell_angle_gamma 90.00
_symmetry_space_group_name_H-M 'P 4/m m m'
_symmetry_Int_Tables_number 123
_symmetry_space_group_name_Hall '-P 4 2'
loop_
_atom_site_label
_atom_site_fract_x
_atom_site_fract_y
_atom_site_fract_z
_atom_site_occupancy
Sn1 0.000 0.000 0.000 1
Sb1 0.000 0.500 0.000 1
Se1 0.000 0.000 0.500 1
Cl1 0.500 0.500 0.500 1
```

The crystal system is tetragonal. The density of states at the Fermi level comes out at 4.3 states/eV per cell. For the formation energy (no corrections), the calculation gives 2.8 eV per formula unit.

***

First-principles (PBE) data for an optimized crystal structure of Sr4SbSe2Cl, as listed in Alexandria via LeMat-Bulk.

The structure in CIF format:
```
data_Sr4SbSe2Cl
_chemical_formula_sum 'Sr8 Sb2 Se4 Cl2'
_cell_length_a 6.411
_cell_length_b 6.411
_cell_length_c 12.871
_cell_angle_alpha 90.00
_cell_angle_beta 90.00
_cell_angle_gamma 90.00
_symmetry_space_group_name_H-M 'I 4/m m m'
_symmetry_Int_Tables_number 139
_symmetry_space_group_name_Hall '-I 4 2'
loop_
_atom_site_label
_atom_site_fract_x
_atom_site_fract_y
_atom_site_fract_z
_atom_site_occupancy
Sr1 0.000 0.000 0.248 1
Sr2 0.000 0.500 0.000 1
Sb1 0.000 0.000 0.000 1
Se1 0.000 0.500 0.250 1
Cl1 0.000 0.000 0.500 1
```

The crystal system is tetragonal. For the formation energy (no corrections), the calculation gives -14.4 eV per formula unit.

***

First-principles (PBE) data for an optimized crystal structure of TaSbSeCl2, as listed in Alexandria via LeMat-Bulk.

The structure in CIF format:
```
data_TaSbSeCl2
_chemical_formula_sum 'Ta1 Sb1 Se1 Cl2'
_cell_length_a 4.624
_cell_length_b 4.624
_cell_length_c 5.874
_cell_angle_alpha 90.00
_cell_angle_beta 90.00
_cell_angle_gamma 90.00
_symmetry_space_group_name_H-M 'P 4/m m m'
_symmetry_Int_Tables_number 123
_symmetry_space_group_name_Hall '-P 4 2'
loop_
_atom_site_label
_atom_site_fract_x
_atom_site_fract_y
_atom_site_fract_z
_atom_site_occupancy
Ta1 0.000 0.000 0.000 1
Sb1 0.000 0.000 0.500 1
Se1 0.500 0.500 0.500 1
Cl1 0.000 0.500 0.000 1
```

The crystal system is tetragonal. The density of states at the Fermi level comes out at 2.8 states/eV per cell. For the formation energy (no corrections), the calculation gives -1.0 eV per formula unit.